The following is a DFT calculation (GGA-PBE) of an optimized crystal structure of Y6Ho3Sc.

DFT formation energy = 0.1409 eV/atom
Energy relative to the lowest polymorph listed for this composition = 0 meV per atom
Mass density = 5.63 g cm⁻³

Cell: 10.8599 18.8377 6.1904 Å, 90.00 90.00 90.00°
Last column: nearest neighbours and their distance in Å.
Space group Cmc2_1 (No. 36)
One atom of each set of equivalent atoms:
Y  0.0000  0.0488  0.0000 x4  1 Sc 3.25, 4 Ho 3.51-3.59, 2 Y 3.60
Y  0.0000  0.2769  0.2663 x4  4 Y 3.21-3.33, 2 Sc 3.30-3.45, 1 Ho 3.33
Y  0.1645  0.4548  0.3767 x8  4 Ho 3.38-3.65, 5 Y 3.40-3.72
Y  0.2410  0.2906  0.5636 x8  5 Y 3.21-3.46, 2 Ho 3.26-3.53, 2 Sc 3.32-3.35
Ho  0.0000  0.3885  0.8489 x4  7 Y 3.33-3.66, 1 Sc 3.47, 2 Ho 3.70
Ho  0.1658  0.1110  0.4653 x8  1 Sc 3.20, 5 Y 3.26-3.53
Sc  0.0000  0.2055  0.7804 x4  3 Ho 3.20-3.47, 7 Y 3.25-3.45

=====

The following is a DFT calculation (GGA-PBE) of an optimized crystal structure of Cs2NdPS4.

Energy relative to the elements, uncorrected = -0.940 eV per atom
Mass density = 2.94 g cm⁻³

Cell: 6.8427 14.5295 25.8464 Å, 90.00 90.00 90.00°
Last column: nearest neighbours and their distance in Å.
Space group Fddd (No. 70, origin choice 2)
One atom of each set of equivalent atoms:
Cs  0.1250  0.1250  0.3066 x16  6 S 3.78-4.19
Nd  0.1250  0.1250  0.1250 x8  4 S 2.66
P  0.1250  0.1250  0.6250 x8  4 S 2.34
S  0.0903  0.2831  0.8274 x32  1 P 2.34

=====

The following is a DFT calculation (GGA-PBE) of an optimized crystal structure of Sr2LaYN.

Energy relative to the elements, uncorrected = 0.458 eV per atom
Mass density = 3.30 g cm⁻³

Cell: 7.0698 7.0698 4.2041 Å, 90.00 90.00 90.00°
Last column: nearest neighbours and their distance in Å.
Space group P4/mmm (No. 123)
One atom of each set of equivalent atoms:
Sr  0.0000  0.5000  0.0000 x2  2 La 3.53
La  0.0000  0.0000  0.0000 x1  2 N 2.10
Y  0.5000  0.5000  0.5000 x1  8 Sr 4.11, 2 Y 4.20
N  0.0000  0.0000  0.5000 x1  2 La 2.10

=====

The following is a DFT calculation (GGA-PBE) of an optimized crystal structure of MgCoBr.

Energy relative to the lowest polymorph listed for this composition = 0 meV per atom
Energy relative to the elements, uncorrected = -0.476 eV per atom
Mass density = 4.00 g cm⁻³

Cell: 6.5050 3.7566 11.2684 Å, 90.00 100.29 90.00°
Last column: nearest neighbours and their distance in Å.
Space group C2/m (No. 12)
One atom of each set of equivalent atoms:
Mg  0.0538  0.0000  0.1751 x4  3 Br 2.69, 6 Co 2.90-2.91
Co  0.1672  0.5000  0.0004 x4  3 Co 2.17
Br  0.2346  0.0000  0.6814 x4  3 Mg 2.69

=====

The following is a DFT calculation (GGA-PBE) of an optimized crystal structure of HgPtPb3.

DFT formation energy = 0.1280 eV/atom
Energy relative to the lowest polymorph listed for this composition = 198 meV per atom
Mass density = 10.47 g cm⁻³

Cell: 5.4434 5.4434 5.4434 Å, 90.00 90.00 90.00°
Last column: nearest neighbours and their distance in Å.
Space group Pm-3m (No. 221)
One atom of each set of equivalent atoms:
Hg  0.0000  0.0000  0.0000 x1  12 Pb 3.85
Pt  0.5000  0.5000  0.5000 x1  6 Pb 2.72
Pb  0.0000  0.5000  0.5000 x3  2 Pt 2.72

=====

The following is a DFT calculation (GGA-PBE) of an optimized crystal structure of YPH2.

Energy relative to the lowest polymorph listed for this composition = 0 meV per atom
Mass density = 4.34 g cm⁻³

Cell: 5.7134 5.7134 5.7134 Å, 90.00 90.00 90.00°
Last column: nearest neighbours and their distance in Å.
Space group Fm-3m (No. 225)
One atom of each set of equivalent atoms:
Y  0.0000  0.0000  0.0000 x4  8 H 2.47
P  0.0000  0.0000  0.5000 x4  8 H 2.47
H  0.2500  0.2500  0.2500 x8  4 Y 2.47, 4 P 2.47

=====

The following is a DFT calculation (GGA-PBE) of an optimized crystal structure of PmGe4Rh2.

DFT formation energy = -0.4819 eV/atom
Energy relative to the lowest polymorph listed for this composition = 174 meV per atom
Mass density = 8.12 g cm⁻³

Cell: 8.0534 8.0534 4.0425 Å, 90.00 90.00 90.00°
Last column: nearest neighbours and their distance in Å.
Space group P4_2/mnm (No. 136)
One atom of each set of equivalent atoms:
Pm  0.0000  0.0000  0.0000 x2  6 Rh 3.20-3.21, 8 Ge 3.24
Ge  0.0786  0.3047  0.5000 x8  3 Rh 2.49-2.60, 1 Ge 2.58
Rh  0.2187  0.7813  0.5000 x4  6 Ge 2.49-2.60

=====

The following is a DFT calculation (GGA-PBE) of an optimized crystal structure of NaPAu3.

DFT formation energy = 1.1910 eV/atom
Energy relative to the lowest polymorph listed for this composition = 1270 meV per atom
Mass density = 9.34 g cm⁻³

Cell: 4.8586 4.8586 4.8586 Å, 90.00 90.00 90.00°
Last column: nearest neighbours and their distance in Å.
Space group Pm-3m (No. 221)
One atom of each set of equivalent atoms:
Na  0.0000  0.0000  0.0000 x1  6 Au 2.43
P  0.5000  0.5000  0.5000 x1  12 Au 3.44
Au  0.0000  0.0000  0.5000 x3  2 Na 2.43

=====

The following is a DFT calculation (GGA-PBE) of an optimized crystal structure of Cu5Ge3Cl12.

Energy relative to the elements, uncorrected = -0.518 eV per atom
Mass density = 3.69 g cm⁻³

Cell: 15.1225 15.1225 15.1225 Å, 90.00 90.00 90.00°
Last column: nearest neighbours and their distance in Å.
Space group Ia-3d (No. 230)
One atom of each set of equivalent atoms:
Cu  0.0000  0.0000  0.0000 x16  6 Cl 2.50
Cu  0.0000  0.2500  0.3750 x24  4 Cl 2.29
Ge  0.0000  0.2500  0.1250 x24  8 Cl 2.89-2.92
Cl  0.0272  0.0606  0.6514 x96  2 Cu 2.29-2.50

=====

The following is a DFT calculation (GGA-PBE) of an optimized crystal structure of PaFeGe2.

DFT formation energy = -0.4218 eV/atom
Mass density = 10.22 g cm⁻³

Cell: 4.1077 17.0922 4.0012 Å, 90.00 90.00 90.00°
Last column: nearest neighbours and their distance in Å.
Space group Cmmm (No. 65)
One atom of each set of equivalent atoms:
Pa  0.0000  0.1420  0.0000 x4  4 Fe 3.08, 10 Ge 3.09-3.23
Fe  0.0000  0.4245  0.5000 x4  5 Ge 2.29-2.43
Ge  0.0000  0.0000  0.5000 x2  4 Fe 2.43
Ge  0.0000  0.2905  0.5000 x4  1 Fe 2.29, 2 Ge 2.48
Ge  0.0000  0.5000  0.0000 x2  4 Fe 2.38

=====

The following is a DFT calculation (GGA-PBE) of an optimized crystal structure of Cd2In4Hg2Pb.

DFT formation energy = 0.0272 eV/atom
Mass density = 8.99 g cm⁻³

Cell: 16.1158 3.6060 8.4095 Å, 90.00 102.35 90.00°
Last column: nearest neighbours and their distance in Å.
Space group C2/m (No. 12)
One atom of each set of equivalent atoms:
Cd  0.1722  0.0000  0.0067 x4  2 Cd 3.11, 2 Hg 3.20, 3 In 3.23-3.48, 2 Pb 3.30
In  0.0683  0.0000  0.3609 x4  4 Hg 3.26-3.28, 5 In 3.27-3.61, 2 Pb 3.50
In  0.2335  0.5000  0.3292 x4  2 Hg 3.20, 3 Cd 3.23-3.48, 4 In 3.27-3.34
Hg  0.1051  0.5000  0.6912 x4  2 Cd 3.20, 6 In 3.20-3.28, 1 Pb 3.39
Pb  0.0000  0.5000  0.0000 x2  4 Cd 3.30, 2 Hg 3.39, 4 In 3.50, 2 Pb 3.61